Record 1
A plane-wave DFT calculation with PBE was carried out for a relaxed structure of Er2TmHfN4.

size of the total moment: 0.000 Bohr magnetons per cell
formation energy without anion corrections: -1.835 eV/atom

Cell lengths 5.807, 3.348, 5.812 Å; angles 90.00, 109.25, 90.00 degrees
Space group P2/m (No. 10)
Inequivalent atoms, fractional coordinates:
Er1 0.000 0.000 0.000 [1 per cell]
Er2 0.500 0.500 0.000 [1 per cell]
Tm1 0.000 0.500 0.500 [1 per cell]
Hf1 0.500 0.000 0.500 [1 per cell]
N1 0.258 0.000 0.740 [2 per cell]
N2 0.264 0.500 0.265 [2 per cell]

---

Record 2
A plane-wave DFT calculation with PBE was carried out for a relaxed structure of ErTm2Hf3N6.

size of the total moment: 0.000 Bohr magnetons per cell
formation energy without anion corrections: -1.841 eV/atom

Cell lengths 5.691, 9.846, 5.743 Å; angles 90.00, 109.32, 90.00 degrees
Space group C2/m (No. 12)
Inequivalent atoms, fractional coordinates:
Er1 0.000 0.000 0.000 [2 per cell]
Tm1 0.000 0.333 0.000 [4 per cell]
Hf1 0.000 0.167 0.500 [4 per cell]
Hf2 0.000 0.500 0.500 [2 per cell]
N1 0.243 0.333 0.731 [8 per cell]
N2 0.245 0.000 0.731 [4 per cell]

---

Record 3
A plane-wave DFT calculation with PBE was carried out for a relaxed structure of ErHf2UN4.

size of the total moment: 0.031 Bohr magnetons per cell
formation energy without anion corrections: -1.648 eV/atom

Cell lengths 4.700, 4.700, 9.314 Å; angles 90.00, 90.00, 90.00 degrees
Space group I-4m2 (No. 119)
Inequivalent atoms, fractional coordinates:
Er1 0.000 0.000 0.000 [2 per cell]
Hf1 0.000 0.000 0.500 [2 per cell]
Hf2 0.000 0.500 0.250 [2 per cell]
U1 0.000 0.500 0.750 [2 per cell]
N1 0.000 0.000 0.256 [4 per cell]
N2 0.000 0.500 0.501 [4 per cell]

---

Record 4
A plane-wave DFT calculation with PBE was carried out for a relaxed structure of ErHfU2N4.

size of the total moment: 3.083 Bohr magnetons per cell
formation energy without anion corrections: -1.543 eV/atom

Cell lengths 5.808, 3.336, 5.936 Å; angles 90.00, 108.87, 90.00 degrees
Space group P2/m (No. 10)
Inequivalent atoms, fractional coordinates:
Er1 0.000 0.000 0.000 [1 per cell]
Hf1 0.500 0.500 0.000 [1 per cell]
U1 0.000 0.500 0.500 [1 per cell]
U2 0.500 0.000 0.500 [1 per cell]
N1 0.261 0.500 0.242 [2 per cell]
N2 0.268 0.000 0.767 [2 per cell]

---

Record 5
A plane-wave DFT calculation with PBE was carried out for a relaxed structure of YEr2Hf3N6.

size of the total moment: 0.000 Bohr magnetons per cell
formation energy without anion corrections: -1.809 eV/atom

Cell lengths 5.714, 9.887, 5.779 Å; angles 90.00, 109.27, 90.00 degrees
Space group C2/m (No. 12)
Inequivalent atoms, fractional coordinates:
Y1 0.000 0.000 0.000 [2 per cell]
Er1 0.000 0.333 0.000 [4 per cell]
Hf1 0.000 0.167 0.500 [4 per cell]
Hf2 0.000 0.500 0.500 [2 per cell]
N1 0.241 0.332 0.728 [8 per cell]
N2 0.245 0.000 0.727 [4 per cell]

---

Record 6
A plane-wave DFT calculation with PBE was carried out for a relaxed structure of YEr3Hf2N6.

size of the total moment: 0.000 Bohr magnetons per cell
formation energy without anion corrections: -1.798 eV/atom

Cell lengths 14.599, 3.342, 6.722 Å; angles 90.00, 103.43, 90.00 degrees
Space group C2/m (No. 12)
Inequivalent atoms, fractional coordinates:
Y1 0.000 0.000 0.000 [2 per cell]
Er1 0.000 0.000 0.500 [2 per cell]
Er2 0.167 0.500 0.833 [4 per cell]
Hf1 0.167 0.500 0.334 [4 per cell]
N1 0.008 0.500 0.258 [4 per cell]
N2 0.169 0.000 0.101 [4 per cell]
N3 0.172 0.000 0.572 [4 per cell]

---

Total DFT energy (no corrections) values, unit eV/atom, following the record order: -8.941, -9.617, -10.280, -10.342, -9.759, -9.299.